# 1
Entry from the Alexandria database: a geometry-optimized AcNbRhO6 structure (PBE).

Structure (extended XYZ):
```
18
Lattice="-2.2877 -3.8811 2.2409 4.4816 -1.9729 1.1583 -0.0293 4.9907 8.6139" Properties=species:S:1:pos:R:3 pbc="T T T"
O 0.6127 -0.1473 3.5712
O -0.7974 -2.4858 3.6821
O 0.5917 1.8357 6.9358
O 1.5614 -0.7517 8.4382
O 2.9799 -1.4210 3.0780
O 3.3505 0.1976 5.6263
O 1.5634 -2.6844 5.0444
O 0.7059 3.0190 9.7354
O -0.8444 0.5389 8.9215
O 1.4295 1.0881 10.8566
O 2.9912 1.6201 8.3081
O -1.1859 -1.0812 6.3518
Rh 1.0726 1.2232 8.8628
Rh -0.0097 1.6549 2.8563
Ac 1.0820 -0.3923 6.0745
Ac -0.0002 0.0394 0.0680
Nb 1.0920 -2.0846 3.1536
Nb -0.0196 3.3378 5.7610
```

Results
For the energy relative to the elements, uncorrected, the calculation gives -2.049 eV/atom.

***

# 2
Entry from the Alexandria database: a geometry-optimized NiAs2BrN structure (PBE).

Structure (extended XYZ):
```
5
Lattice="-2.1435 3.7169 -0.8522 -0.9145 -1.4501 -4.0246 -3.6673 -1.7770 1.4735" Properties=species:S:1:pos:R:3 pbc="T T T"
As -0.4572 -0.7250 -2.0123
As -1.0718 1.8585 -0.4261
Ni -3.3626 0.2449 -1.7016
Br -1.8336 -0.8885 0.7368
N 0.0000 0.0000 0.0000
```

Results
As for the distance to the lowest polymorph of the same formula: 0 meV per atom. For the energy relative to the elements, uncorrected, the calculation gives 1.142 eV/atom.

***

# 3
Entry from the Alexandria database: a geometry-optimized LiCd4Ag15 structure (PBE).

Structure (extended XYZ):
```
20
Lattice="4.1166 0.0000 0.0000 0.0000 4.1166 0.0000 0.0000 0.0000 21.6090" Properties=species:S:1:pos:R:3 pbc="T T T"
Ag 0.0000 2.0583 6.4219
Ag 2.0583 0.0000 19.5651
Ag 0.0000 2.0583 10.8045
Ag 2.0583 2.0583 13.0021
Ag 0.0000 2.0583 19.5651
Ag 2.0583 2.0583 17.3779
Ag 2.0583 0.0000 15.1871
Ag 2.0583 2.0583 8.6070
Ag 2.0583 2.0583 0.0000
Ag 2.0583 0.0000 10.8045
Ag 2.0583 0.0000 2.0439
Ag 0.0000 2.0583 15.1871
Ag 2.0583 0.0000 6.4219
Ag 0.0000 2.0583 2.0439
Ag 2.0583 2.0583 4.2311
Cd 0.0000 0.0000 8.6180
Cd 0.0000 0.0000 17.3869
Cd 0.0000 0.0000 12.9910
Cd 0.0000 0.0000 4.2221
Li 0.0000 0.0000 0.0000
```

Results
As for the energy of formation: -0.05 eV/atom.

***

# 4
Entry from the Alexandria database: a geometry-optimized Mg2TlIn3 structure (PBE).

Structure (extended XYZ):
```
6
Lattice="3.5874 0.0000 0.0000 0.0000 3.5874 0.0000 0.0000 0.0000 11.8862" Properties=species:S:1:pos:R:3 pbc="T T T"
Tl 1.7937 1.7937 5.9431
In 0.0000 0.0000 8.2405
In 0.0000 0.0000 0.0000
In 0.0000 0.0000 3.6457
Mg 1.7937 1.7937 10.0578
Mg 1.7937 1.7937 1.8284
```

Results
As for the energy of formation: -0.05 eV/atom.

***

# 5
Entry from the Alexandria database: a geometry-optimized BaHPb3 structure (PBE).

Structure (extended XYZ):
```
5
Lattice="-2.9124 -4.2606 -0.4314 2.9316 -2.3639 3.5551 -3.1216 1.7550 3.7411" Properties=species:S:1:pos:R:3 pbc="T T T"
Ba -1.5512 -2.4347 3.4324
Pb -1.4562 -2.1303 -0.2157
Pb -1.5608 0.8775 1.8705
Pb 1.4658 -1.1819 1.7775
H 0.0000 0.0000 0.0000
```

Results
As for the distance to the lowest polymorph of the same formula: 0 meV per atom.

***

# 6
Entry from the Alexandria database: a geometry-optimized CoPS2N structure (PBE).

Structure (extended XYZ):
```
10
Lattice="6.2157 0.0000 -0.0133 0.0000 2.8316 0.0000 -6.1753 0.0000 8.0638" Properties=species:S:1:pos:R:3 pbc="T T T"
Co 0.9983 1.4158 2.4219
Co -2.0894 0.0000 6.4538
N 2.2829 1.4158 4.0487
N 5.3705 0.0000 0.0168
S -3.5145 1.4158 7.4750
S -0.4269 0.0000 3.4431
S -0.6339 1.4158 5.4230
S 2.4537 0.0000 1.3911
P -3.2089 0.0000 4.6231
P -0.1213 1.4158 0.5912
```

Results
As for the distance to the lowest polymorph of the same formula: 136 meV per atom. For the energy relative to the elements, uncorrected, the calculation gives 0.084 eV/atom.

***

# 7
Entry from the Alexandria database: a geometry-optimized Pm4OsPdBr2 structure (PBE).

Structure (extended XYZ):
```
8
Lattice="-3.7534 -0.3533 1.7443 -0.9652 -6.2381 -3.3406 3.4868 -1.6711 7.1647" Properties=species:S:1:pos:R:3 pbc="T T T"
Pm 0.1943 -6.2337 4.1017
Pm 2.5237 -3.0884 4.8050
Pm -0.0021 -4.8209 -0.9810
Pm -1.4261 -2.0289 1.4666
Br -0.1333 -1.0122 4.4545
Br 1.2608 -3.9546 1.9120
Pd 0.0000 0.0000 0.0000
Os -2.3593 -3.2957 -0.7982
```

Results
For the energy relative to the elements, uncorrected, the calculation gives -0.893 eV/atom.

***

# 8
Entry from the Alexandria database: a geometry-optimized Tl6Hg12Bi structure (PBE).

Structure (extended XYZ):
```
19
Lattice="-2.7217 6.1884 5.8225 -7.2181 -4.3563 -2.9202 5.1055 -5.8362 4.4134" Properties=species:S:1:pos:R:3 pbc="T T T"
Hg 0.1259 0.6471 7.5374
Hg 2.4188 -3.6795 5.1861
Hg -2.3492 0.0776 5.7258
Hg -3.8546 3.0331 4.7146
Hg -4.9601 -4.6511 -0.2217
Hg -5.0670 -2.5175 2.5095
Hg -0.8455 -4.4031 4.2671
Hg -2.4850 -4.0817 1.5898
Hg 0.2328 -1.4866 4.8062
Hg -7.2530 -0.3245 2.1295
Hg -0.9796 -7.0372 2.6010
Hg -3.9888 0.3990 3.0485
Tl -0.5910 1.3343 3.1803
Tl 0.6949 -3.0031 1.6560
Tl -4.2432 -5.3384 4.1354
Tl -5.5291 -1.0009 5.6597
Tl -1.4871 -2.9866 7.2439
Tl -3.3471 -1.0175 0.0718
Bi 0.0000 0.0000 0.0000
```

Results
As for the energy of formation: 0.01 eV/atom.

***

It is found that the density values, taken in the order of the records, are 6.8; 6.1; 9.4; 6.5; 9.1; 3.9; 7.4; 11.0 Mg/m³.